Run 1
{"formula": "PrSmTl", "functional": "PBE", "state": "optimized geometry", "m_tot_mub_per_atom": 0.000, "rho_kg_m3": 8610, "sg": "No. 156", "lattice_angstrom": [[3.819, 0.000, 0.000], [0.000, 5.376, 0.000], [0.000, -2.688, 4.656]], "species": ["Sm", "Pr", "Tl"], "fractional_positions": [[0.090, 0.000, 0.000], [0.636, 0.333, 0.667], [0.274, 0.667, 0.333]]}

---

Run 2
{"formula": "PrSmTl", "functional": "PBE", "state": "optimized geometry", "m_tot_mub_per_atom": 0.000, "rho_kg_m3": 8556, "sg": "No. 107", "lattice_angstrom": [[-0.670, -3.658, -0.441], [3.501, -0.772, 1.085], [-3.522, 1.816, 6.192]], "species": ["Sm", "Tl", "Pr"], "fractional_positions": [[0.297, 0.297, 0.593], [0.947, 0.947, 0.893], [0.607, 0.607, 0.214]]}

---

Quick one: least stable of them? run 1

---

Run 1
{"formula": "PrSmTl", "functional": "PBE", "state": "optimized geometry", "m_tot_mub_per_atom": 0.000, "rho_kg_m3": 8467, "sg": "No. 186", "lattice_angstrom": [[3.644, 0.000, 0.000], [-1.822, 3.156, 0.000], [0.000, 0.000, 16.903]], "species": ["Pr", "Pr", "Tl", "Tl", "Sm", "Sm"], "fractional_positions": [[0.667, 0.333, 0.953], [0.333, 0.667, 0.453], [0.000, 0.000, 0.618], [0.000, 0.000, 0.118], [0.667, 0.333, 0.279], [0.333, 0.667, 0.779]]}

---

Run 2
{"formula": "PrSmTl", "functional": "PBE", "state": "optimized geometry", "m_tot_mub_per_atom": 0.000, "rho_kg_m3": 8875, "sg": "No. 63", "lattice_angstrom": [[-2.555, -4.425, 2.248], [2.186, -0.348, -5.131], [5.965, -2.081, 2.683]], "species": ["Sm", "Sm", "Tl", "Tl", "Pr", "Pr"], "fractional_positions": [[0.333, 0.666, 0.750], [0.667, 0.334, 0.250], [0.666, 0.333, 0.750], [0.334, 0.667, 0.250], [0.000, 0.000, 0.000], [0.000, 0.000, 0.500]]}

---

Run 3
{"formula": "PrSmTl", "functional": "PBE", "state": "optimized geometry", "m_tot_mub_per_atom": 0.257, "rho_kg_m3": 7661, "sg": "No. 216", "lattice_angstrom": [[5.336, 0.000, 0.000], [2.668, 4.621, 0.000], [2.668, 1.540, 4.357]], "species": ["Tl", "Sm", "Pr"], "fractional_positions": [[0.250, 0.250, 0.250], [0.000, 0.000, 0.000], [0.500, 0.500, 0.500]]}

---

Quick one: least stable of them? run 3

---

Run 1
{"formula": "PrSm2Tl4", "functional": "PBE", "state": "optimized geometry", "m_tot_mub_per_atom": 0.003, "rho_kg_m3": 9474, "sg": "No. 166", "lattice_angstrom": [[4.922, 0.000, 0.000], [2.461, 4.262, 0.000], [2.461, 1.421, 10.521]], "species": ["Tl", "Tl", "Tl", "Tl", "Sm", "Sm", "Pr"], "fractional_positions": [[0.615, 0.615, 0.155], [0.385, 0.385, 0.845], [0.244, 0.244, 0.267], [0.756, 0.756, 0.733], [0.129, 0.129, 0.612], [0.871, 0.871, 0.388], [0.000, 0.000, 0.000]]}

---

Run 2
{"formula": "PrSm2Tl4", "functional": "PBE", "state": "optimized geometry", "m_tot_mub_per_atom": 0.117, "rho_kg_m3": 9252, "sg": "No. 139", "lattice_angstrom": [[-2.901, -5.969, 0.397], [6.166, -0.806, -2.352], [0.046, 2.728, 6.062]], "species": ["Tl", "Tl", "Tl", "Tl", "Pr", "Sm", "Sm"], "fractional_positions": [[0.000, 0.000, 0.500], [0.500, 0.000, 0.000], [0.000, 0.500, 0.000], [0.500, 0.500, 0.500], [0.000, 0.000, 0.000], [0.500, 0.500, 0.000], [0.500, 0.000, 0.500]]}

---

Quick one: least stable of them? run 1

---

Run 1
{"formula": "Pr4SmTl2", "functional": "PBE", "state": "optimized geometry", "m_tot_mub_per_atom": 0.000, "rho_kg_m3": 7764, "sg": "No. 15", "lattice_angstrom": [[8.944, 0.137, 1.360], [-0.508, 8.931, -1.361], [-2.972, -5.692, 6.366]], "species": ["Tl", "Tl", "Tl", "Tl", "Sm", "Sm", "Pr", "Pr", "Pr", "Pr", "Pr", "Pr", "Pr", "Pr"], "fractional_positions": [[0.625, 0.375, 0.750], [0.625, 0.875, 0.250], [0.125, 0.375, 0.750], [0.625, 0.375, 0.250], [0.156, 0.156, 0.000], [0.094, 0.594, 0.500], [0.370, 0.632, 0.263], [0.479, 0.714, 0.763], [0.952, 0.716, 0.237], [0.880, 0.118, 0.237], [0.881, 0.643, 0.763], [0.298, 0.034, 0.263], [0.369, 0.107, 0.737], [0.771, 0.036, 0.737]]}

---

Run 2
{"formula": "Pr4SmTl2", "functional": "PBE", "state": "optimized geometry", "m_tot_mub_per_atom": 0.000, "rho_kg_m3": 7972, "sg": "No. 1", "lattice_angstrom": [[7.973, 1.057, -5.096], [1.089, 5.614, -3.372], [-6.634, -2.928, 10.605]], "species": ["Pr", "Pr", "Pr", "Pr", "Tl", "Tl", "Sm"], "fractional_positions": [[0.001, 0.499, 0.001], [0.500, 0.000, 0.000], [0.983, 0.375, 0.652], [0.016, 0.626, 0.348], [0.680, 0.786, 0.413], [0.320, 0.215, 0.587], [0.999, 0.000, 0.000]]}

---

Quick one: least stable of them? run 1

---

Run 1
{"formula": "PrSm2Tl2", "functional": "PBE", "state": "optimized geometry", "m_tot_mub_per_atom": 0.000, "rho_kg_m3": 8771, "sg": "No. 12", "lattice_angstrom": [[-0.875, 4.174, -2.101], [0.704, -1.993, -4.258], [-6.838, -2.725, 2.783]], "species": ["Tl", "Tl", "Sm", "Sm", "Pr"], "fractional_positions": [[0.399, 0.399, 0.801], [0.601, 0.601, 0.199], [0.750, 0.250, 0.500], [0.250, 0.750, 0.500], [0.000, 0.000, 0.000]]}

---

Run 2
{"formula": "PrSm2Tl2", "functional": "PBE", "state": "optimized geometry", "m_tot_mub_per_atom": 0.075, "rho_kg_m3": 8970, "sg": "No. 194", "lattice_angstrom": [[5.271, 0.000, 0.000], [-2.636, 4.565, 0.000], [0.000, 0.000, 13.083]], "species": ["Sm", "Sm", "Sm", "Sm", "Tl", "Tl", "Tl", "Tl", "Pr", "Pr"], "fractional_positions": [[0.333, 0.667, 0.250], [0.000, 0.000, 0.500], [0.667, 0.333, 0.750], [0.000, 0.000, 0.000], [0.333, 0.667, 0.627], [0.667, 0.333, 0.127], [0.333, 0.667, 0.873], [0.667, 0.333, 0.373], [0.000, 0.000, 0.250], [0.000, 0.000, 0.750]]}

---

Quick one: least stable of them? run 2

---

Run 1
{"formula": "Pr3Sm3Tl", "functional": "PBE", "state": "optimized geometry", "m_tot_mub_per_atom": 0.000, "rho_kg_m3": 7475, "sg": "No. 148", "lattice_angstrom": [[7.698, 0.000, 3.915], [2.854, 7.150, 3.915], [0.304, 0.206, 8.929]], "species": ["Tl", "Tl", "Pr", "Pr", "Pr", "Pr", "Pr", "Pr", "Sm", "Sm", "Sm", "Sm", "Sm", "Sm"], "fractional_positions": [[0.666, 0.666, 0.001], [0.334, 0.334, 0.999], [0.703, 0.210, 0.165], [0.079, 0.297, 0.835], [0.790, 0.079, 0.835], [0.921, 0.703, 0.165], [0.297, 0.790, 0.835], [0.210, 0.921, 0.165], [0.439, 0.934, 0.359], [0.934, 0.268, 0.359], [0.732, 0.561, 0.641], [0.268, 0.439, 0.359], [0.561, 0.066, 0.641], [0.066, 0.732, 0.641]]}

---

Run 2
{"formula": "Pr3Sm3Tl", "functional": "PBE", "state": "optimized geometry", "m_tot_mub_per_atom": 0.000, "rho_kg_m3": 7754, "sg": "No. 11", "lattice_angstrom": [[5.750, 0.000, 0.000], [0.000, 9.630, -0.013], [0.000, -4.810, 8.345]], "species": ["Sm", "Sm", "Sm", "Sm", "Sm", "Sm", "Tl", "Tl", "Pr", "Pr", "Pr", "Pr", "Pr", "Pr"], "fractional_positions": [[0.250, 0.821, 0.062], [0.750, 0.063, 0.242], [0.250, 0.242, 0.179], [0.750, 0.179, 0.938], [0.750, 0.758, 0.821], [0.250, 0.937, 0.758], [0.750, 0.333, 0.667], [0.250, 0.667, 0.333], [0.250, 0.522, 0.630], [0.750, 0.893, 0.523], [0.750, 0.478, 0.370], [0.250, 0.370, 0.893], [0.250, 0.107, 0.477], [0.750, 0.630, 0.107]]}

---

Quick one: least stable of them? run 1

---

Run 1
{"formula": "Pr6SmTl2", "functional": "PBE", "state": "optimized geometry", "m_tot_mub_per_atom": 0.000, "rho_kg_m3": 7688, "sg": "No. 12", "lattice_angstrom": [[3.832, 0.000, 0.608], [1.672, 6.490, 1.840], [0.025, 0.036, 12.212]], "species": ["Sm", "Tl", "Tl", "Pr", "Pr", "Pr", "Pr", "Pr", "Pr"], "fractional_positions": [[0.000, 0.000, 0.000], [0.362, 0.075, 0.200], [0.638, 0.925, 0.800], [0.306, 0.797, 0.590], [0.694, 0.203, 0.410], [0.685, 0.506, 0.125], [0.014, 0.314, 0.657], [0.986, 0.686, 0.343], [0.315, 0.494, 0.875]]}

---

Run 2
{"formula": "Pr6SmTl2", "functional": "PBE", "state": "optimized geometry", "m_tot_mub_per_atom": 0.000, "rho_kg_m3": 7767, "sg": "No. 12", "lattice_angstrom": [[5.896, 0.000, 0.000], [-2.948, 5.071, -0.179], [0.000, -1.331, 10.090]], "species": ["Pr", "Pr", "Pr", "Pr", "Pr", "Pr", "Tl", "Tl", "Sm"], "fractional_positions": [[0.374, 0.748, 0.803], [0.325, 0.649, 0.418], [0.675, 0.351, 0.582], [0.626, 0.252, 0.197], [0.948, 0.895, 0.163], [0.052, 0.105, 0.837], [0.280, 0.560, 0.107], [0.720, 0.440, 0.893], [0.000, 0.000, 0.500]]}

---

Quick one: least stable of them? run 2

---

Run 1
{"formula": "Pr3Sm6Tl", "functional": "PBE", "state": "optimized geometry", "m_tot_mub_per_atom": 0.000, "rho_kg_m3": 7456, "sg": "No. 11", "lattice_angstrom": [[-0.680, -3.277, -1.459], [7.755, -5.263, 8.213], [-12.040, -1.438, 8.843]], "species": ["Sm", "Sm", "Sm", "Sm", "Sm", "Sm", "Sm", "Sm", "Sm", "Sm", "Sm", "Sm", "Tl", "Tl", "Pr", "Pr", "Pr", "Pr", "Pr", "Pr"], "fractional_positions": [[0.250, 0.207, 0.185], [0.250, 0.563, 0.894], [0.750, 0.793, 0.815], [0.750, 0.437, 0.106], [0.250, 0.886, 0.996], [0.250, 0.692, 0.246], [0.750, 0.114, 0.004], [0.250, 0.810, 0.611], [0.750, 0.308, 0.754], [0.750, 0.622, 0.457], [0.250, 0.378, 0.543], [0.750, 0.190, 0.389], [0.750, 0.688, 0.058], [0.250, 0.312, 0.942], [0.250, 0.053, 0.804], [0.250, 0.103, 0.584], [0.250, 0.427, 0.318], [0.750, 0.947, 0.196], [0.750, 0.897, 0.416], [0.750, 0.573, 0.682]]}

---

Run 2
{"formula": "Pr3Sm6Tl", "functional": "PBE", "state": "optimized geometry", "m_tot_mub_per_atom": 0.000, "rho_kg_m3": 7460, "sg": "No. 36", "lattice_angstrom": [[-1.255, -6.202, 0.679], [4.599, -2.037, -10.107], [5.950, -0.153, 9.593]], "species": ["Tl", "Tl", "Pr", "Pr", "Pr", "Pr", "Pr", "Pr", "Sm", "Sm", "Sm", "Sm", "Sm", "Sm", "Sm", "Sm", "Sm", "Sm", "Sm", "Sm"], "fractional_positions": [[0.163, 0.237, 0.763], [0.663, 0.763, 0.237], [0.416, 0.955, 0.712], [0.916, 0.712, 0.955], [0.577, 0.604, 0.396], [0.416, 0.288, 0.045], [0.916, 0.045, 0.288], [0.077, 0.396, 0.604], [0.382, 0.570, 0.967], [0.882, 0.430, 0.033], [0.648, 0.291, 0.709], [0.047, 0.713, 0.632], [0.908, 0.058, 0.942], [0.882, 0.967, 0.570], [0.047, 0.368, 0.287], [0.148, 0.709, 0.291], [0.408, 0.942, 0.058], [0.547, 0.287, 0.368], [0.382, 0.033, 0.430], [0.547, 0.632, 0.713]]}

---

Quick one: least stable of them? run 2

---

Run 1
{"formula": "Pr2SmTl", "functional": "PBE", "state": "optimized geometry", "m_tot_mub_per_atom": 0.000, "rho_kg_m3": 8023, "sg": "No. 123", "lattice_angstrom": [[3.710, 0.000, 0.000], [0.000, 3.710, 0.000], [0.000, 0.000, 9.574]], "species": ["Pr", "Pr", "Sm", "Tl"], "fractional_positions": [[0.000, 0.000, 0.228], [0.000, 0.000, 0.772], [0.500, 0.500, 0.500], [0.500, 0.500, 0.000]]}

---

Run 2
{"formula": "Pr2SmTl", "functional": "PBE", "state": "optimized geometry", "m_tot_mub_per_atom": 0.002, "rho_kg_m3": 8442, "sg": "No. 123", "lattice_angstrom": [[-1.851, -0.341, 4.680], [-1.035, -4.814, -0.760], [4.518, -1.239, 1.696]], "species": ["Sm", "Pr", "Pr", "Tl"], "fractional_positions": [[0.500, 0.500, 0.500], [0.000, 0.500, 0.000], [0.000, 0.000, 0.500], [0.500, 0.000, 0.000]]}

---

Run 3
{"formula": "Pr2SmTl", "functional": "PBE", "state": "optimized geometry", "m_tot_mub_per_atom": 0.346, "rho_kg_m3": 8288, "sg": "No. 225", "lattice_angstrom": [[5.650, 0.000, 0.000], [2.825, 4.893, 0.000], [2.825, 1.631, 4.613]], "species": ["Pr", "Pr", "Sm", "Tl"], "fractional_positions": [[0.750, 0.750, 0.750], [0.250, 0.250, 0.250], [0.000, 0.000, 0.000], [0.500, 0.500, 0.500]]}

---

Run 4
{"formula": "Pr2SmTl", "functional": "PBE", "state": "optimized geometry", "m_tot_mub_per_atom": 0.000, "rho_kg_m3": 7747, "sg": "No. 160", "lattice_angstrom": [[3.769, 0.000, 0.000], [1.885, 3.264, 0.000], [1.885, 1.088, 11.090]], "species": ["Pr", "Pr", "Sm", "Tl"], "fractional_positions": [[0.255, 0.255, 0.234], [0.078, 0.078, 0.766], [0.500, 0.500, 0.500], [0.667, 0.667, 0.000]]}

---

Quick one: least stable of them? run 3

---

Run 1
{"formula": "Pr4SmTl3", "functional": "PBE", "state": "optimized geometry", "m_tot_mub_per_atom": 0.000, "rho_kg_m3": 8450, "sg": "No. 12", "lattice_angstrom": [[3.685, 0.000, 0.000], [0.000, 9.100, 0.797], [-1.842, -1.548, 7.642]], "species": ["Pr", "Pr", "Pr", "Pr", "Tl", "Tl", "Tl", "Sm"], "fractional_positions": [[0.663, 0.359, 0.325], [0.634, 0.727, 0.269], [0.337, 0.641, 0.675], [0.366, 0.273, 0.731], [0.000, 0.500, 0.000], [0.826, 0.950, 0.652], [0.174, 0.050, 0.348], [0.500, 0.000, 0.000]]}

---

Run 2
{"formula": "Pr4SmTl3", "functional": "PBE", "state": "optimized geometry", "m_tot_mub_per_atom": 0.256, "rho_kg_m3": 8673, "sg": "No. 166", "lattice_angstrom": [[0.094, 5.091, 2.269], [2.752, 0.876, 4.769], [8.767, 4.023, -2.539]], "species": ["Pr", "Pr", "Pr", "Pr", "Tl", "Tl", "Tl", "Sm"], "fractional_positions": [[0.868, 0.868, 0.396], [0.132, 0.132, 0.604], [0.613, 0.613, 0.160], [0.387, 0.387, 0.840], [0.500, 0.500, 0.500], [0.736, 0.736, 0.792], [0.264, 0.264, 0.208], [0.000, 0.000, 0.000]]}

---

Quick one: least stable of them? run 1